1.
Li12Mg6Cu | PBE-GGA | optimized geometry

Cell: 7.2779 7.2778 7.2779 Å, 91.25 91.25 91.25°
Last column: nearest neighbours and their distance in Å.
Fractional coordinates of all 19 atoms:
Li: 0.4705 0.2023 0.5531  4 Li 2.88-3.07, 4 Mg 2.97-3.08
Li: 0.2023 0.5531 0.4705  4 Li 2.88-3.07, 4 Mg 2.97-3.08
Li: 0.5531 0.4705 0.2023  4 Li 2.88-3.07, 4 Mg 2.97-3.08
Li: 0.5295 0.7977 0.4469  4 Li 2.88-3.07, 4 Mg 2.97-3.08
Li: 0.7977 0.4469 0.5295  4 Li 2.88-3.07, 4 Mg 2.97-3.08
Li: 0.4469 0.5295 0.7977  4 Li 2.88-3.07, 4 Mg 2.97-3.08
Li: 0.8524 0.9513 0.6333  1 Cu 2.87, 4 Li 2.88-3.01, 5 Mg 3.00-3.18
Li: 0.3667 0.1476 0.0487  1 Cu 2.87, 4 Li 2.88-3.01, 5 Mg 3.00-3.18
Li: 0.0487 0.3667 0.1476  1 Cu 2.87, 4 Li 2.88-3.01, 5 Mg 3.00-3.18
Li: 0.1476 0.0487 0.3667  1 Cu 2.87, 4 Li 2.88-3.01, 5 Mg 3.00-3.18
Li: 0.6333 0.8524 0.9513  1 Cu 2.87, 4 Li 2.88-3.01, 5 Mg 3.00-3.18
Li: 0.9513 0.6333 0.8524  1 Cu 2.87, 4 Li 2.88-3.01, 5 Mg 3.00-3.18
Mg: 0.1145 0.2695 0.7452  1 Cu 2.85, 9 Li 2.97-3.18, 2 Mg 3.00
Mg: 0.7305 0.2548 0.8855  1 Cu 2.85, 9 Li 2.97-3.18, 2 Mg 3.00
Mg: 0.2548 0.8855 0.7305  1 Cu 2.85, 9 Li 2.97-3.18, 2 Mg 3.00
Mg: 0.8855 0.7305 0.2548  1 Cu 2.85, 9 Li 2.97-3.18, 2 Mg 3.00
Mg: 0.2695 0.7452 0.1145  1 Cu 2.85, 9 Li 2.97-3.18, 2 Mg 3.00
Mg: 0.7452 0.1145 0.2695  1 Cu 2.85, 9 Li 2.97-3.18, 2 Mg 3.00
Cu: 0.0000 0.0000 0.0000  6 Mg 2.85, 6 Li 2.87

Values from the calculation:
calculated density = 1.3 g cm⁻³
crystal system = trigonal
calculated total energy = -36.8 eV per cell


2.
NaSb2Rh3 | PBE-GGA | optimized geometry

Cell: 4.2126 8.9283 10.0924 Å, 107.34 90.00 103.65°
Last column: nearest neighbours and their distance in Å.
Fractional coordinates of all 18 atoms:
Na: 0.1669 0.3338 0.7158  6 Sb 3.22-3.34, 7 Rh 3.23-3.56
Na: 0.8331 0.6662 0.2842  6 Sb 3.22-3.34, 7 Rh 3.23-3.56
Na: 0.0000 0.0000 0.0000  6 Sb 3.06-3.24, 6 Rh 3.15-3.24
Sb: 0.1849 0.3699 0.1220  6 Rh 2.63-2.68
Sb: 0.8151 0.6301 0.8780  6 Rh 2.63-2.68
Sb: 0.4585 0.9169 0.2124  5 Rh 2.61-2.77
Sb: 0.5415 0.0831 0.7876  5 Rh 2.61-2.77
Sb: 0.3596 0.7193 0.5354  7 Rh 2.55-2.81
Sb: 0.6404 0.2807 0.4646  7 Rh 2.55-2.81
Rh: 0.0374 0.0749 0.3346  4 Sb 2.61-2.81, 3 Rh 2.87-2.88
Rh: 0.9626 0.9251 0.6654  4 Sb 2.61-2.81, 3 Rh 2.87-2.88
Rh: 0.2100 0.4201 0.3928  4 Sb 2.55-2.64
Rh: 0.7900 0.5799 0.6072  4 Sb 2.55-2.64
Rh: 0.6138 0.2276 0.1992  4 Sb 2.58-2.74
Rh: 0.3862 0.7724 0.8008  4 Sb 2.58-2.74
Rh: 0.5000 0.0000 0.5000  4 Sb 2.57-2.77
Rh: 0.3137 0.6275 0.0334  4 Sb 2.61-2.65
Rh: 0.6863 0.3725 0.9666  4 Sb 2.61-2.65

Values from the calculation:
calculated density = 8.2 g cm⁻³
E_form (uncorrected) = -0.3612 eV/atom
crystal system = monoclinic


3.
Ti4NbZn3 | PBE-GGA | optimized geometry

Cell: 3.2203 3.2203 12.4700 Å, 90.00 90.00 90.00°
Last column: nearest neighbours and their distance in Å.
Fractional coordinates of all 8 atoms:
Nb: 0.5000 0.5000 0.0000  8 Ti 2.78
Zn: 0.5000 0.5000 0.2539  8 Ti 2.75-2.77, 1 Zn 3.07
Zn: 0.5000 0.5000 0.5000  8 Ti 2.74, 2 Zn 3.07
Zn: 0.5000 0.5000 0.7461  8 Ti 2.75-2.77, 1 Zn 3.07
Ti: 0.0000 0.0000 0.8720  4 Zn 2.77, 4 Nb 2.78
Ti: 0.0000 0.0000 0.1280  4 Zn 2.77, 4 Nb 2.78
Ti: 0.0000 0.0000 0.3776  8 Zn 2.74-2.75, 1 Ti 3.05
Ti: 0.0000 0.0000 0.6224  8 Zn 2.74-2.75, 1 Ti 3.05

Values from the calculation:
calculated density = 6.2 g cm⁻³
crystal system = tetragonal
calculated total energy = -46.5 eV per cell


4.
MnTcIr2 | PBE-GGA | optimized geometry

Cell: 8.8203 8.8203 8.8203 Å, 17.95 17.95 17.95°
Last column: nearest neighbours and their distance in Å.
Fractional coordinates of all 4 atoms:
Ir: 0.9986 0.9986 0.9986  3 Mn 2.66, 3 Tc 2.72, 6 Ir 2.75
Ir: 0.5014 0.5014 0.5014  3 Mn 2.66, 3 Tc 2.72, 6 Ir 2.75
Mn: 0.2500 0.2500 0.2500  6 Ir 2.66, 6 Mn 2.75
Tc: 0.7500 0.7500 0.7500  6 Ir 2.72, 6 Tc 2.75

Values from the calculation:
calculated density = 15.7 g cm⁻³
distance to the lowest polymorph of the same formula = 0.122 eV per atom
crystal system = trigonal


5.
Rb3ClF6 | PBE-GGA | optimized geometry

Cell: 6.2539 6.2539 7.3201 Å, 64.71 64.71 90.00°
Last column: nearest neighbours and their distance in Å.
Fractional coordinates of all 10 atoms:
F: 0.2295 0.2295 0.5409  1 Rb 2.68
F: 0.7705 0.7705 0.4591  1 Rb 2.68
F: 0.2944 0.2944 0.0000  1 Cl 1.82
F: 0.7056 0.7056 0.0000  1 Cl 1.82
F: 0.7056 0.2944 0.0000  1 Cl 1.82
F: 0.2944 0.7056 0.0000  1 Cl 1.82
Rb: 0.7500 0.2500 0.5000  4 F 3.14
Rb: 0.2500 0.7500 0.5000  4 F 3.14
Rb: 0.0000 0.0000 0.0000  6 F 2.60-2.68
Cl: 0.5000 0.5000 0.0000  4 F 1.82

Values from the calculation:
calculated density = 3.0 g cm⁻³
E_form (uncorrected) = -1.8641 eV/atom
distance to the lowest polymorph of the same formula = 0.068 eV per atom
crystal system = tetragonal


6.
PaVGaRh | PBE-GGA | optimized geometry

Cell: 4.6225 4.6225 4.6225 Å, 60.00 60.00 60.00°
Last column: nearest neighbours and their distance in Å.
Fractional coordinates of all 4 atoms:
Pa: 0.5000 0.5000 0.5000  4 Rh 2.83, 4 V 2.83
Rh: 0.2500 0.2500 0.2500  4 Pa 2.83, 4 Ga 2.83
Ga: 0.0000 0.0000 0.0000  4 Rh 2.83, 4 V 2.83
V: 0.7500 0.7500 0.7500  4 Pa 2.83, 4 Ga 2.83

Values from the calculation:
calculated density = 10.8 g cm⁻³
crystal system = cubic
calculated total energy = -30.3 eV per cell